# 1
This record from Alexandria describes an optimized crystal structure of RbTl2As2. The functional is PBE.

abc: 8.936 8.936 4.289
angles: 90.00 90.00 90.00
Fractional positions:
Rb 0.000 0.000 0.000
Rb 0.500 0.500 0.000
Tl 0.655 0.845 0.500
Tl 0.845 0.345 0.500
Tl 0.155 0.655 0.500
Tl 0.345 0.155 0.500
As 0.596 0.096 0.000
As 0.096 0.404 0.000
As 0.404 0.904 0.000
As 0.904 0.596 0.000

Calculated values
E_form in eV/atom: -0.12
Mass density in Mg/m³: 6.2

***

# 2
This record from Alexandria describes an optimized crystal structure of RbTl3As. The functional is PBE.

abc: 4.342 11.022 14.685
angles: 90.00 90.00 90.00
Fractional positions:
Tl 0.250 0.817 0.211
Tl 0.750 0.183 0.789
Tl 0.250 0.440 0.691
Tl 0.750 0.460 0.894
Tl 0.750 0.960 0.606
Tl 0.750 0.683 0.711
Tl 0.250 0.940 0.809
Tl 0.250 0.540 0.106
Tl 0.250 0.040 0.394
Tl 0.250 0.317 0.289
Tl 0.750 0.060 0.191
Tl 0.750 0.560 0.309
As 0.250 0.633 0.843
As 0.750 0.367 0.157
As 0.750 0.867 0.343
As 0.250 0.133 0.657
Rb 0.750 0.791 0.994
Rb 0.250 0.209 0.006
Rb 0.250 0.709 0.494
Rb 0.750 0.291 0.506

Calculated values
E_form in eV/atom: -0.13
Mass density in Mg/m³: 7.3

***

# 3
This record from Alexandria describes an optimized crystal structure of RbTl3As3. The functional is PBE.

abc: 8.035 8.035 8.035
angles: 70.85 70.85 70.85
Fractional positions:
Tl 0.765 0.646 0.058
Tl 0.942 0.235 0.354
Tl 0.058 0.765 0.646
Tl 0.235 0.354 0.942
Tl 0.354 0.942 0.235
Tl 0.646 0.058 0.765
Rb 0.372 0.372 0.372
Rb 0.628 0.628 0.628
As 0.987 0.729 0.243
As 0.013 0.271 0.757
As 0.757 0.013 0.271
As 0.271 0.757 0.013
As 0.243 0.987 0.729
As 0.729 0.243 0.987

Calculated values
E_form in eV/atom: -0.08
Mass density in Mg/m³: 6.8

***

# 4
This record from Alexandria describes an optimized crystal structure of Rb3Tl2As2. The functional is PBE.

abc: 5.572 4.544 11.440
angles: 101.46 104.10 90.00
Fractional positions:
Tl 0.431 0.431 0.862
Tl 0.569 0.569 0.138
Rb 0.000 0.000 0.000
Rb 0.810 0.310 0.620
Rb 0.190 0.690 0.380
As 0.641 0.141 0.283
As 0.359 0.859 0.717

Calculated values
E_form in eV/atom: -0.24
Mass density in Mg/m³: 4.9

***

# 5
This record from Alexandria describes an optimized crystal structure of Rb3TlAs. The functional is PBE.

abc: 6.738 6.738 6.738
angles: 90.00 90.00 90.00
Fractional positions:
Rb 0.500 0.000 0.000
Rb 0.000 0.000 0.500
Rb 0.000 0.500 0.000
Tl 0.500 0.500 0.500
As 0.000 0.000 0.000

Calculated values
E_form in eV/atom: 0.07
Mass density in Mg/m³: 2.9

***

# 6
This record from Alexandria describes an optimized crystal structure of Rb3TlAs. The functional is PBE.

abc: 8.865 8.865 8.865
angles: 101.63 114.77 112.30
Fractional positions:
Rb 0.482 0.147 0.249
Rb 0.898 0.233 0.751
Rb 0.482 0.733 0.834
Rb 0.898 0.647 0.166
Rb 0.903 0.746 0.657
Rb 0.088 0.246 0.343
Tl 0.393 0.137 0.757
Tl 0.380 0.637 0.243
As 0.575 0.396 0.680
As 0.716 0.896 0.320

Calculated values
E_form in eV/atom: -0.18
Mass density in Mg/m³: 3.4

***

Number 1: magnetic moment 0.00 Bohr magnetons per cell. Number 2: magnetic moment 0.00 Bohr magnetons per cell. Number 3: magnetic moment 0.00 Bohr magnetons per cell. Number 4: magnetic moment 0.00 Bohr magnetons per cell. Number 5: magnetic moment 1.32 Bohr magnetons per cell. Number 6: magnetic moment 1.54 Bohr magnetons per cell.